A plane-wave DFT calculation with PBE was carried out for a geometry-optimized Tl2InF8 structure.

Lattice parameters (Å, degrees): 9.8754 7.4418 4.7492 90.00 107.81 90.00
Space group C2/m (No. 12)
Symmetry-distinct sites (fractional):
Tl  0.1634  0.0000  0.3705 [4 per cell]
In  0.0000  0.5000  0.0000 [2 per cell]
F  0.0820  0.0000  0.7929 [4 per cell]
F  0.1302  0.5000  0.7318 [4 per cell]
F  0.1462  0.3073  0.2570 [8 per cell]

Properties
Uncorrected energy, eV per atom: -4.064
Density of states at the Fermi level, states/eV/f.u.: 1.61
Crystal system: monoclinic
Offset from the most stable computed form, meV per atom: 0
Formation energy without anion corrections, eV/atom: -2.024
Total magnetic moment, μB per formula unit: 0.00

---

A plane-wave DFT calculation with PBE was carried out for a geometry-optimized Ac3Zn4Si2 structure.

Lattice parameters (Å, degrees): 11.9065 4.3151 8.8838 90.00 98.64 90.00
Space group C2/m (No. 12)
Symmetry-distinct sites (fractional):
Ac  0.0000  0.0000  0.0000 [2 per cell]
Ac  0.1669  0.5000  0.6617 [4 per cell]
Zn  0.0549  0.0000  0.3866 [4 per cell]
Zn  0.2241  0.5000  0.0626 [4 per cell]
Si  0.1126  0.5000  0.2788 [4 per cell]

Properties
Uncorrected energy, eV per atom: -3.603
Density of states at the Fermi level, states/eV/f.u.: 8.61
Crystal system: monoclinic
Formation energy without anion corrections, eV/atom: -0.462
Total magnetic moment, μB per formula unit: 0.00

---

A plane-wave DFT calculation with PBE was carried out for a geometry-optimized PuNpTcGe structure.

Lattice parameters (Å, degrees): 6.7088 6.7088 6.7088 90.00 90.00 90.00
Space group F-43m (No. 216)
Symmetry-distinct sites (fractional):
Pu  0.0000  0.0000  0.0000 [4 per cell]
Np  0.2500  0.2500  0.2500 [4 per cell]
Tc  0.0000  0.0000  0.5000 [4 per cell]
Ge  0.2500  0.2500  0.7500 [4 per cell]

Properties
Uncorrected energy, eV per atom: -10.643
Density of states at the Fermi level, states/eV/f.u.: 6.67
Crystal system: cubic
Formation energy from the elements, meV per atom: -79
Total magnetic moment, μB per formula unit: 8.27

---

A plane-wave DFT calculation with PBE was carried out for a geometry-optimized IrOs3Se structure.

Lattice parameters (Å, degrees): 4.4658 4.4658 4.4658 90.00 90.00 90.00
Space group Pm-3m (No. 221)
Symmetry-distinct sites (fractional):
Ir  0.0000  0.0000  0.0000 [1 per cell]
Os  0.0000  0.5000  0.5000 [3 per cell]
Se  0.5000  0.5000  0.5000 [1 per cell]

Properties
Uncorrected energy, eV per atom: -7.166
Density of states at the Fermi level, states/eV/f.u.: 5.49
Crystal system: cubic
Offset from the most stable computed form, meV per atom: 0
Formation energy without anion corrections, eV/atom: 2.041
Total magnetic moment, μB per formula unit: 0.00

---

A plane-wave DFT calculation with PBE was carried out for a geometry-optimized CaSn2I structure.

Lattice parameters (Å, degrees): 7.9769 7.9769 7.9769 90.00 90.00 90.00
Space group Fm-3m (No. 225)
Symmetry-distinct sites (fractional):
Ca  0.0000  0.0000  0.0000 [4 per cell]
Sn  0.2500  0.2500  0.2500 [8 per cell]
I  0.0000  0.0000  0.5000 [4 per cell]

Properties
Uncorrected energy, eV per atom: -2.881
Density of states at the Fermi level, states/eV/f.u.: 2.46
Crystal system: cubic
Offset from the most stable computed form, meV per atom: 117
Formation energy without anion corrections, eV/atom: 0.009
Total magnetic moment, μB per formula unit: 0.00

---

A plane-wave DFT calculation with PBE was carried out for a geometry-optimized CrCd2OsW structure.

Lattice parameters (Å, degrees): 4.8705 4.8705 4.3573 90.00 90.00 90.00
Space group P4/mmm (No. 123)
Symmetry-distinct sites (fractional):
Cr  0.0000  0.0000  0.0000 [1 per cell]
Cd  0.0000  0.5000  0.0000 [2 per cell]
Os  0.5000  0.5000  0.5000 [1 per cell]
W  0.0000  0.0000  0.5000 [1 per cell]

Properties
Uncorrected energy, eV per atom: -5.167
Density of states at the Fermi level, states/eV/f.u.: 4.57
Crystal system: tetragonal
Formation energy from the elements, meV per atom: 1960
Total magnetic moment, μB per formula unit: 2.54

---

A plane-wave DFT calculation with PBE was carried out for a geometry-optimized BaPd2W structure.

Lattice parameters (Å, degrees): 7.0534 7.0534 7.0534 90.00 90.00 90.00
Space group Fm-3m (No. 225)
Symmetry-distinct sites (fractional):
Ba  0.0000  0.0000  0.0000 [4 per cell]
Pd  0.2500  0.2500  0.2500 [8 per cell]
W  0.0000  0.0000  0.5000 [4 per cell]

Properties
Uncorrected energy, eV per atom: -5.553
Density of states at the Fermi level, states/eV/f.u.: 6.49
Crystal system: cubic
Offset from the most stable computed form, meV per atom: 209
Formation energy from the elements, meV per atom: 763
Total magnetic moment, μB per formula unit: 3.25

---

A plane-wave DFT calculation with PBE was carried out for a geometry-optimized YHo2Ru structure.

Lattice parameters (Å, degrees): 7.3242 9.1262 6.2919 90.00 90.00 90.00
Space group Pnma (No. 62)
Symmetry-distinct sites (fractional):
Y  0.0396  0.2500  0.1301 [4 per cell]
Ho  0.1763  0.0639  0.6669 [8 per cell]
Ru  0.1148  0.7500  0.4558 [4 per cell]

Properties
Uncorrected energy, eV per atom: -6.553
Density of states at the Fermi level, states/eV/f.u.: 3.08
Crystal system: orthorhombic
Offset from the most stable computed form, meV per atom: 0
Formation energy from the elements, meV per atom: -330
Total magnetic moment, μB per formula unit: 0.00